This record from the Alexandria database describes a relaxed structure of CoAg2BiPb. The functional is PBE.

Cell: 5.049 5.049 4.795 Å, 90.00 90.00 90.00°
Atoms (fractional coordinates):
Co (0.000, 0.000, 0.000)
Ag (0.000, 0.500, 0.000)
Ag (0.500, 0.000, 0.000)
Bi (0.000, 0.000, 0.500)
Pb (0.500, 0.500, 0.500)

DOS at the Fermi energy = 2.736 states/eV/f.u.
space-group type = P4/mmm (123)
E = -3.641 eV/atom
formation energy from the elements = 0.439 eV/atom